1.
VASP calculation (PBE-GGA) on a relaxed structure of YZnCd2.

Values from the calculation:
Crystal system: trigonal
Energy of formation from the pure elements (meV per atom): -13
Symmetry: No. 166
Calculated total energy (eV per atom): -2.405

Unit cell a=9.464 b=9.464 c=9.464 alpha=21.22 beta=21.22 gamma=21.22
Positions (direct):
Y  0.000  0.000  0.000
Zn  0.500  0.500  0.500
Cd  0.240  0.240  0.240
Cd  0.760  0.760  0.760

2.
VASP calculation (PBE-GGA) on a relaxed structure of Y2ZnCd.

Values from the calculation:
Energy above the lowest structure with this stoichiometry (kJ per mole of atoms): 18.18
Crystal system: trigonal
Energy of formation from the pure elements (meV per atom): -170
Symmetry: No. 166
Calculated total energy (eV per atom): -3.949

Unit cell a=9.516 b=9.516 c=9.516 alpha=22.20 beta=22.20 gamma=22.20
Positions (direct):
Y  0.245  0.245  0.245
Y  0.755  0.755  0.755
Zn  0.500  0.500  0.500
Cd  0.000  0.000  0.000

3.
VASP calculation (PBE-GGA) on a relaxed structure of Y2ZnCd.

Values from the calculation:
Energy above the lowest structure with this stoichiometry (kJ per mole of atoms): 19.21
Crystal system: tetragonal
Energy of formation from the pure elements (meV per atom): -159
Symmetry: No. 119
Calculated total energy (eV per atom): -3.938

Unit cell a=5.948 b=5.948 c=5.948 alpha=136.32 beta=136.32 gamma=63.48
Positions (direct):
Y  0.000  0.000  0.000
Y  0.750  0.250  0.500
Zn  0.250  0.750  0.500
Cd  0.500  0.500  0.000

Number 1 is which compound? YZnCd2

What did the first record say?
VASP calculation (PBE-GGA) on a relaxed structure of YZnCd2.

Values from the calculation:
Crystal system: trigonal
Energy of formation from the pure elements (meV per atom): -13
Symmetry: No. 166
Calculated total energy (eV per atom): -2.405

Unit cell a=9.464 b=9.464 c=9.464 alpha=21.22 beta=21.22 gamma=21.22
Positions (direct):
Y  0.000  0.000  0.000
Zn  0.500  0.500  0.500
Cd  0.240  0.240  0.240
Cd  0.760  0.760  0.760

Number 3 is which compound? Y2ZnCd

Which of these has the highest energy of formation from the pure elements? YZnCd2